{"formula": "PmScAs", "functional": "PBE", "state": "relaxed", "dos_ef_per_ev_fu": 3.89, "ef_ev_per_fu": -2.03, "e_above_lowest_polymorph_kj_per_mol_fu": 102.3, "dft_energy_ev_per_cell": -17.76, "density_g_cm3": 5.874, "lattice_angstrom": [[4.1291, 0.0000, 0.0000], [0.0000, 4.5762, 0.0000], [0.0000, -2.2881, 3.9631]], "species": ["Sc", "As", "Pm"], "fractional_positions": [[0.1370, 0.0000, 0.0000], [0.2243, 0.3333, 0.6667], [0.6388, 0.6667, 0.3333]]}